This record from Alexandria via LeMat-Bulk describes a relaxed structure of AgPt2Br. The functional is PBE.

## Properties
**Crystal system**: monoclinic
**D(E_F)**: 0.17 states/eV per atom
**E above lowest polymorph**: 0.0 kJ/mol of atoms
**ΔE_f (raw)**: 201 meV/atom
**Volume**: 19.82 Å³ per atom

a b c (Å): 3.3298 3.4216 7.1301
angles (deg): 90.00 102.66 90.00
Space group Pm (No. 6)
One atom of each set of equivalent atoms:
Ag (0.0000, 0.0000, 0.0000) (multiplicity 1)
Pt (0.3821, 0.5000, 0.7511) (multiplicity 1)
Pt (0.8067, 0.0000, 0.5901) (multiplicity 1)
Br (0.6649, 0.5000, 0.2933) (multiplicity 1)